A plane-wave DFT calculation with GGA+U was carried out for a relaxed LiMnNO2 crystal.

## Properties
* calculated volume: 10.01 Å³ per atom
* theoretical density: 3.58 g/cm³
* raw total energy: -5.2729 eV per atom

```
data_LiMnNO2
_space_group_name_H-M_alt 'P 4/m m m'
_space_group_IT_number 123
_space_group_name_Hall '-P 4 2'
_cell_length_a 3.636
_cell_length_b 3.636
_cell_length_c 3.786
_cell_angle_alpha 90.00
_cell_angle_beta 90.00
_cell_angle_gamma 90.00
loop_
_atom_site_label
_atom_site_fract_x
_atom_site_fract_y
_atom_site_fract_z
_atom_site_occupancy
Li1 0.000 0.000 0.000 1
Mn1 0.500 0.500 0.500 1
N1 0.000 0.000 0.500 1
O1 0.000 0.500 0.000 1
```